Record 1
This record from Alexandria describes an optimized crystal structure of FeNiGe. The functional is PBE.

abc: 5.563 5.563 5.563
angles: 90.00 90.00 90.00
Space group F-43m (No. 216)
Symmetry-distinct sites (fractional):
Fe: 0.000 0.000 0.000
Ni: 0.250 0.250 0.750
Ge: 0.000 0.000 0.500

Properties
**Final energy**: -75.8 eV per cell



Record 2
This record from Alexandria describes an optimized crystal structure of Fe2Ni7Ge. The functional is PBE.

abc: 6.381 11.922 3.806
angles: 90.00 90.00 90.00
Space group Cmmm (No. 65)
Symmetry-distinct sites (fractional):
Fe: 0.000 0.202 0.000
Ni: 0.000 0.000 0.000
Ni: 0.000 0.305 0.500
Ni: 0.186 0.396 0.000
Ge: 0.000 0.500 0.500

Properties
**Final energy**: -114.1 eV per cell



no.,DOS(E_F) (states/eV/f.u.),energy of formation from the pure elements (eV/atom)
1,3.06,-0.03
2,12.46,0.50